[1]
10
Lattice="7.1602 0.0000 0.0000 0.0000 7.1602 0.0000 0.0000 0.0000 3.0122" Properties=species:S:1:pos:R:3 comment="LiP2Pt2 PBE relaxed" magmom_total_mub_per_atom=0.000 total_energy_ev_per_atom=-5.2083 spacegroup=P4/mbm volume_a3_per_atom=15.4 density_g_cm3=9.87 pbc="T T T"
Li 0.0000 0.0000 0.0000
Li 3.5801 3.5801 0.0000
P 1.0540 2.5261 0.0000
P 2.5261 6.1062 0.0000
P 4.6341 1.0540 0.0000
P 6.1062 4.6341 0.0000
Pt 1.2007 4.7808 1.5061
Pt 2.3794 1.2007 1.5061
Pt 4.7808 5.9595 1.5061
Pt 5.9595 2.3794 1.5061

***

[2]
5
Lattice="-1.8432 1.8432 5.2733 1.8432 -1.8432 5.2733 1.8432 1.8432 -5.2733" Properties=species:S:1:pos:R:3 comment="Li2P2Pt PBE relaxed" magmom_total_mub_per_atom=0.000 total_energy_ev_per_atom=-4.3086 e_above_lowest_polymorph_mev_per_atom=546 spacegroup=I4/mmm volume_a3_per_atom=14.3 density_g_cm3=6.28 pbc="T T T"
Li 1.8432 0.0000 2.6367
Li 0.0000 1.8432 2.6367
P 0.0000 0.0000 1.0195
P 0.0000 0.0000 9.5272
Pt 0.0000 0.0000 5.2733

***

[3]
4
Lattice="1.3930 -2.3755 0.0000 1.3930 2.3755 0.0000 0.0000 0.0000 8.8981" Properties=species:S:1:pos:R:3 comment="LiPPt2 PBE relaxed" magmom_total_mub_per_atom=0.000 total_energy_ev_per_atom=-4.9858 spacegroup=Cmmm volume_a3_per_atom=14.7 density_g_cm3=12.07 pbc="T T T"
Li 0.0000 0.0000 0.0000
P 0.0000 0.0000 4.4491
Pt 1.3930 0.0000 2.1952
Pt 1.3930 0.0000 6.7030

***

[4]
15
Lattice="8.1164 0.0000 0.0000 -4.0582 7.0290 0.0000 0.0000 0.0000 4.0972" Properties=species:S:1:pos:R:3 comment="LiPPt3 PBE relaxed" magmom_total_mub_per_atom=0.000 total_energy_ev_per_atom=-5.4542 e_above_lowest_polymorph_mev_per_atom=189 spacegroup=P-62m volume_a3_per_atom=15.6 density_g_cm3=13.28 pbc="T T T"
Li 0.0000 0.0000 0.0000
Li 0.0000 4.6860 2.0486
Li 4.0582 2.3430 2.0486
P -2.7755 4.8073 2.0486
P 1.2827 2.2217 2.0486
P 5.5510 0.0000 2.0486
Pt -1.0719 1.8566 2.0486
Pt -1.4875 5.2808 0.0000
Pt 0.2287 3.1005 0.0000
Pt 2.1439 0.0000 2.0486
Pt 2.5707 1.7483 0.0000
Pt 1.2588 5.6769 0.0000
Pt 2.9863 5.1724 2.0486
Pt 5.3170 1.3522 0.0000
Pt 4.2869 3.9286 0.0000

***

Number 1: ΔE_f -245 meV per atom. Number 2: ΔE_f -171 meV per atom. Number 3: ΔE_f -134 meV per atom. Number 4: ΔE_f -365 meV per atom.